[1]
# TmScIn2Pt4 (PBE, relaxed)
data_TmScIn2Pt4
_cell_length_a 4.5326
_cell_length_b 4.5326
_cell_length_c 8.7829
_cell_angle_alpha 90.00
_cell_angle_beta 90.00
_cell_angle_gamma 120.00
_symmetry_space_group_name_H-M 'P -6 m 2'
_symmetry_Int_Tables_number 187
_symmetry_space_group_name_Hall 'P -6 2'
loop_
_atom_site_label
_atom_site_fract_x
_atom_site_fract_y
_atom_site_fract_z
_atom_site_occupancy
Tm1 0.0000 0.0000 0.0000 1
Sc1 0.3333 0.6667 0.5000 1
In1 0.6667 0.3333 0.2569 1
Pt1 0.0000 0.0000 0.3446 1
Pt2 0.3333 0.6667 0.1609 1
# - M_tot (μB/f.u.) = 0.006
# - VASP energy (eV for the cell shown) = -47.93



[2]
# Y2ScIn3Pt2 (PBE, relaxed)
data_Y2ScIn3Pt2
_cell_length_a 3.554
_cell_length_b 13.297
_cell_length_c 7.646
_cell_angle_alpha 90.00
_cell_angle_beta 90.00
_cell_angle_gamma 90.00
_symmetry_space_group_name_H-M 'A m m 2'
_symmetry_Int_Tables_number 38
_symmetry_space_group_name_Hall 'A 2 -2'
loop_
_atom_site_label
_atom_site_fract_x
_atom_site_fract_y
_atom_site_fract_z
_atom_site_occupancy
Y1 0.000 0.210 0.000 1
Sc1 0.000 0.000 0.633 1
In1 0.500 0.000 0.972 1
In2 0.500 0.113 0.329 1
Pt1 0.500 0.159 0.706 1
# - M_tot (μB/f.u.) = 0.013
# - VASP energy (eV for the cell shown) = -92.93



[3]
# In2PtSe4 (PBE, relaxed)
data_In2PtSe4
_cell_length_a 5.662
_cell_length_b 5.662
_cell_length_c 12.063
_cell_angle_alpha 90.00
_cell_angle_beta 90.00
_cell_angle_gamma 90.00
_symmetry_space_group_name_H-M 'I -4'
_symmetry_Int_Tables_number 82
_symmetry_space_group_name_Hall 'I -4'
loop_
_atom_site_label
_atom_site_fract_x
_atom_site_fract_y
_atom_site_fract_z
_atom_site_occupancy
In1 0.000 0.000 0.000 1
In2 0.000 0.500 0.250 1
Pt1 0.000 0.000 0.500 1
Se1 0.203 0.735 0.633 1
# - M_tot (μB/f.u.) = 0.013
# - VASP energy (eV for the cell shown) = -54.81



[4]
# In2Pt3Se2 (PBE, relaxed)
data_In2Pt3Se2
_cell_length_a 5.8345
_cell_length_b 5.8345
_cell_length_c 14.4459
_cell_angle_alpha 90.00
_cell_angle_beta 90.00
_cell_angle_gamma 120.00
_symmetry_space_group_name_H-M 'R -3 m'
_symmetry_Int_Tables_number 166
_symmetry_space_group_name_Hall '-R 3 2"'
loop_
_atom_site_label
_atom_site_fract_x
_atom_site_fract_y
_atom_site_fract_z
_atom_site_occupancy
In1 0.0000 0.0000 0.0000 1
In2 0.0000 0.0000 0.5000 1
Pt1 0.0000 0.5000 0.0000 1
Se1 0.0000 0.0000 0.2064 1
# - M_tot (μB/f.u.) = 0.003
# - VASP energy (eV for the cell shown) = -99.08



[5]
# In3PtSe (PBE, relaxed)
data_In3PtSe
_cell_length_a 5.295
_cell_length_b 5.295
_cell_length_c 5.295
_cell_angle_alpha 90.00
_cell_angle_beta 90.00
_cell_angle_gamma 90.00
_symmetry_space_group_name_H-M 'P m -3 m'
_symmetry_Int_Tables_number 221
_symmetry_space_group_name_Hall '-P 4 2 3'
loop_
_atom_site_label
_atom_site_fract_x
_atom_site_fract_y
_atom_site_fract_z
_atom_site_occupancy
In1 0.000 0.000 0.500 1
Pt1 0.500 0.500 0.500 1
Se1 0.000 0.000 0.000 1
# - M_tot (μB/f.u.) = 0.006
# - VASP energy (eV for the cell shown) = -14.51



[6]
# InSi5Pt3 (PBE, relaxed)
data_InSi5Pt3
_cell_length_a 5.8676
_cell_length_b 5.8676
_cell_length_c 5.7696
_cell_angle_alpha 90.00
_cell_angle_beta 90.00
_cell_angle_gamma 120.00
_symmetry_space_group_name_H-M 'P 6/m m m'
_symmetry_Int_Tables_number 191
_symmetry_space_group_name_Hall '-P 6 2'
loop_
_atom_site_label
_atom_site_fract_x
_atom_site_fract_y
_atom_site_fract_z
_atom_site_occupancy
In1 0.0000 0.0000 0.0000 1
Si1 0.0000 0.0000 0.5000 1
Si2 0.3333 0.6667 0.2001 1
Pt1 0.0000 0.5000 0.5000 1
# - M_tot (μB/f.u.) = 0.001
# - VASP energy (eV for the cell shown) = -48.33



- Which value of VASP energy does entry 4 give?
  -99.08 eV for the cell shown



- VASP energy of number 5 (In3PtSe)?
  -14.51 eV for the cell shown